Entry 1:
A PBEsol-optimized structure of Zr2InBr. Source: Alexandria, functional SCAN.

Raw formation energy ... -7.61 kcal/mol of atoms
Energy above the most stable polymorph in this dataset ... 0.0000 eV/atom
Spin magnetization ... 0.0 μB/f.u.
Uncorrected energy ... -115.6 eV per cell

```
4
Lattice="1.630 -2.788 0.000 1.630 2.788 0.000 0.000 0.000 9.617" Properties=species:S:1:pos:R:3 pbc="T T T"
Zr 0.000 0.000 2.290
Zr 0.000 0.000 7.327
In 1.630 0.000 4.808
Br 1.630 0.000 0.000
```

---

Entry 2:
A PBEsol-optimized structure of RhSI3. Source: Alexandria, functional SCAN.

Raw formation energy ... 13.65 kcal/mol of atoms
Spin magnetization ... 2.5 μB/f.u.
Uncorrected energy ... -150.7 eV per cell

```
5
Lattice="5.217 0.000 0.000 0.000 5.217 0.000 0.000 0.000 5.217" Properties=species:S:1:pos:R:3 pbc="T T T"
Rh 0.000 0.000 0.000
S 2.609 2.609 2.609
I 0.000 0.000 2.609
I 0.000 2.609 0.000
I 2.609 0.000 0.000
```

---

Entry 3:
A PBEsol-optimized structure of ZrBeBr. Source: Alexandria, functional SCAN.

Raw formation energy ... -2.12 kcal/mol of atoms
Spin magnetization ... 0.7 μB/f.u.
Uncorrected energy ... -54.8 eV per cell

```
3
Lattice="3.299 0.000 0.000 -1.649 2.857 0.000 0.000 0.000 6.549" Properties=species:S:1:pos:R:3 pbc="T T T"
Zr 0.000 0.000 0.000
Be 1.649 0.952 4.675
Br 0.000 1.905 1.925
```

---

Entry 4:
A PBEsol-optimized structure of As2O5. Source: Alexandria, functional SCAN.

Raw formation energy ... -27.86 kcal/mol of atoms
Spin magnetization ... 0.0 μB/f.u.
Uncorrected energy ... -320.0 eV per cell

```
28
Lattice="4.652 0.000 0.000 0.000 8.634 0.000 0.000 0.000 8.698" Properties=species:S:1:pos:R:3 pbc="T T T"
As 0.563 0.280 2.487
As 0.571 5.642 7.838
As 1.755 2.992 3.489
As 1.762 8.354 6.835
As 2.889 4.037 6.211
As 2.897 7.309 0.860
As 4.081 1.325 5.209
As 4.088 4.597 1.862
O 0.261 0.040 4.172
O 0.523 2.708 4.793
O 0.560 0.909 6.643
O 0.756 4.472 2.934
O 0.936 1.943 2.200
O 1.389 6.690 6.549
O 1.570 4.162 7.282
O 1.766 7.725 2.294
O 1.803 5.926 0.444
O 2.065 8.594 8.521
O 2.586 4.277 4.526
O 2.849 1.609 3.905
O 2.886 3.408 2.054
O 3.082 8.478 5.764
O 3.262 2.373 6.498
O 3.715 6.260 2.149
O 3.895 0.155 1.415
O 4.092 5.225 6.403
O 4.129 7.025 8.254
O 4.391 4.357 0.177
```

---

Entry 5:
A PBEsol-optimized structure of YLuB8Rh8. Source: Alexandria, functional SCAN.

Spin magnetization ... 0.0 μB/f.u.
DFT formation energy ... -0.68 eV/atom
Uncorrected energy ... -425.1 eV per cell

```
18
Lattice="5.268 0.000 0.000 0.000 5.268 0.000 0.000 0.000 7.341" Properties=species:S:1:pos:R:3 pbc="T T T"
Y 0.000 0.000 0.000
Lu 2.634 2.634 3.670
B 0.000 1.735 2.580
B 0.000 3.533 2.580
B 0.897 2.634 6.245
B 1.735 0.000 4.761
B 2.634 0.897 1.096
B 2.634 4.371 1.096
B 3.533 0.000 4.761
B 4.371 2.634 6.245
Rh 0.000 1.313 4.730
Rh 0.000 3.955 4.730
Rh 1.313 0.000 2.611
Rh 1.327 2.634 1.081
Rh 2.634 1.327 6.260
Rh 2.634 3.941 6.260
Rh 3.941 2.634 1.081
Rh 3.955 0.000 2.611
```

---

Entry 6:
A PBEsol-optimized structure of CsCo2W. Source: Alexandria, functional SCAN.

Spin magnetization ... 0.0 μB/f.u.
DFT formation energy ... 2.32 eV/atom
Uncorrected energy ... -132.8 eV per cell

```
4
Lattice="0.000 3.179 3.179 3.179 0.000 3.179 3.179 3.179 0.000" Properties=species:S:1:pos:R:3 pbc="T T T"
Cs 0.000 0.000 0.000
Co 1.589 1.589 1.589
Co 4.768 4.768 4.768
W 3.179 3.179 3.179
```

---

Entry 7:
A PBEsol-optimized structure of BaAsBr2Cl. Source: Alexandria, functional SCAN.

Raw formation energy ... -15.70 kcal/mol of atoms
Spin magnetization ... 0.0 μB/f.u.
Uncorrected energy ... -110.0 eV per cell

```
5
Lattice="6.148 0.000 0.000 0.000 6.148 0.000 0.000 0.000 4.494" Properties=species:S:1:pos:R:3 pbc="T T T"
Ba 0.000 0.000 0.000
As 3.074 3.074 0.000
Br 0.000 3.074 2.247
Br 3.074 0.000 2.247
Cl 3.074 3.074 2.247
```

---

Entry 8:
A PBEsol-optimized structure of MgRh3. Source: Alexandria, functional SCAN.

Spin magnetization ... 0.0 μB/f.u.
DFT formation energy ... -0.22 eV/atom
Uncorrected energy ... -107.2 eV per cell

```
4
Lattice="2.746 0.000 0.000 0.000 4.387 0.000 0.000 0.000 4.649" Properties=species:S:1:pos:R:3 pbc="T T T"
Mg 0.000 0.000 0.000
Rh 0.000 2.194 1.647
Rh 1.373 0.000 2.328
Rh 1.373 2.194 3.958
```

---

Entry 9:
A PBEsol-optimized structure of TiCr7O12. Source: Alexandria, functional SCAN.

Raw formation energy ... -60.49 kcal/mol of atoms
Spin magnetization ... 20.0 μB/f.u.
Uncorrected energy ... -272.0 eV per cell

```
20
Lattice="4.963 0.000 0.000 0.007 5.344 0.000 0.005 0.729 7.255" Properties=species:S:1:pos:R:3 pbc="T T T"
Ti 0.000 0.000 0.000
Cr 0.011 3.847 5.837
Cr 0.014 3.436 2.191
Cr 2.477 1.121 5.832
Cr 2.482 0.781 2.227
Cr 2.491 2.660 0.009
Cr 2.492 3.055 3.657
Cr 4.963 0.367 3.640
O 0.766 5.650 5.410
O 0.784 3.487 0.397
O 0.987 1.910 2.929
O 1.503 4.582 2.919
O 1.734 2.962 5.462
O 1.735 0.832 0.411
O 3.238 1.214 4.031
O 3.243 2.601 1.829
O 3.434 4.921 6.556
O 4.012 2.267 6.541
O 4.212 5.282 1.813
O 4.224 3.887 4.017
```

---

Entry 10:
A PBEsol-optimized structure of Al3ZnIn. Source: Alexandria, functional SCAN.

Spin magnetization ... 0.0 μB/f.u.
DFT formation energy ... 0.43 eV/atom
Uncorrected energy ... -68.0 eV per cell

```
5
Lattice="4.747 0.000 0.000 0.000 4.747 0.000 0.000 0.000 4.747" Properties=species:S:1:pos:R:3 pbc="T T T"
Al 0.000 0.000 2.374
Al 0.000 2.374 0.000
Al 2.374 0.000 0.000
Zn 0.000 0.000 0.000
In 2.374 2.374 2.374
```

---

Entry 11:
A PBEsol-optimized structure of SiOsCl2. Source: Alexandria, functional SCAN.

Raw formation energy ... 5.66 kcal/mol of atoms
Energy above the most stable polymorph in this dataset ... 0.4782 eV/atom
Spin magnetization ... 0.0 μB/f.u.
Uncorrected energy ... -96.9 eV per cell

```
4
Lattice="-1.453 2.068 6.695 1.453 -2.068 6.695 1.453 2.068 -6.695" Properties=species:S:1:pos:R:3 pbc="T T T"
Si 0.000 0.000 0.000
Os 0.000 0.000 6.695
Cl 1.453 0.000 4.676
Cl 0.000 2.068 2.019
```

---

Entry 12:
A PBEsol-optimized structure of LiTlRh2. Source: Alexandria, functional SCAN.

Spin magnetization ... 0.0 μB/f.u.
DFT formation energy ... 0.02 eV/atom
Uncorrected energy ... -142.2 eV per cell

```
4
Lattice="2.840 0.000 0.000 0.000 3.887 0.000 0.000 0.000 5.535" Properties=species:S:1:pos:R:3 pbc="T T T"
Li 0.000 0.000 0.000
Tl 1.420 1.943 4.079
Rh 0.000 0.000 2.503
Rh 1.420 1.943 1.292
```

---

Entry 13:
A PBEsol-optimized structure of BiPS2O. Source: Alexandria, functional SCAN.

Raw formation energy ... 13.25 kcal/mol of atoms
Spin magnetization ... 0.0 μB/f.u.
Uncorrected energy ... -111.6 eV per cell

```
5
Lattice="4.459 0.000 0.000 0.000 4.459 0.000 0.000 0.000 4.104" Properties=species:S:1:pos:R:3 pbc="T T T"
Bi 0.000 0.000 0.000
P 2.230 2.230 0.000
S 0.000 2.230 2.052
S 2.230 0.000 2.052
O 2.230 2.230 2.052
```

---

Entry 14:
A PBEsol-optimized structure of InReAg2. Source: Alexandria, functional SCAN.

Spin magnetization ... 0.0 μB/f.u.
DFT formation energy ... 0.56 eV/atom
Uncorrected energy ... -165.0 eV per cell

```
4
Lattice="2.774 0.000 0.000 0.000 4.179 0.000 0.000 0.000 5.814" Properties=species:S:1:pos:R:3 pbc="T T T"
In 0.000 0.000 0.000
Re 1.387 2.089 1.359
Ag 0.000 0.000 2.832
Ag 1.387 2.089 4.202
```

---

Entry 15:
A PBEsol-optimized structure of BaSc2Ni. Source: Alexandria, functional SCAN.

Energy above the most stable polymorph in this dataset ... 0.0718 eV/atom
Spin magnetization ... 0.0 μB/f.u.
DFT formation energy ... 0.04 eV/atom
Uncorrected energy ... -84.1 eV per cell

```
4
Lattice="3.551 0.000 0.000 0.000 3.551 0.000 0.000 0.000 8.123" Properties=species:S:1:pos:R:3 pbc="T T T"
Ba 0.000 0.000 0.000
Sc 0.000 0.000 3.207
Sc 1.775 1.775 5.170
Ni 1.775 1.775 2.565
```

---

Entry 16:
A PBEsol-optimized structure of La2MgPPb. Source: Alexandria, functional SCAN.

Spin magnetization ... 0.0 μB/f.u.
DFT formation energy ... 0.05 eV/atom
Uncorrected energy ... -177.1 eV per cell

```
5
Lattice="6.002 0.000 0.000 0.000 6.002 0.000 0.000 0.000 4.989" Properties=species:S:1:pos:R:3 pbc="T T T"
La 0.000 3.001 0.000
La 3.001 0.000 0.000
Mg 0.000 0.000 2.494
P 3.001 3.001 2.494
Pb 0.000 0.000 0.000
```

---

Entry 17:
A PBEsol-optimized structure of TaAlCu. Source: Alexandria, functional SCAN.

Spin magnetization ... 0.0 μB/f.u.
DFT formation energy ... -0.25 eV/atom
Uncorrected energy ... -90.3 eV per cell

```
3
Lattice="0.000 2.024 5.299 2.019 0.000 5.299 2.019 2.024 0.000" Properties=species:S:1:pos:R:3 pbc="T T T"
Ta 0.000 0.000 0.000
Al 2.019 2.024 7.268
Cu 2.019 2.024 3.461
```

---

Entry 18:
A PBEsol-optimized structure of BaSc3. Source: Alexandria, functional SCAN.

Energy above the most stable polymorph in this dataset ... 0.0000 eV/atom
Spin magnetization ... 0.0 μB/f.u.
DFT formation energy ... 0.30 eV/atom
Uncorrected energy ... -81.0 eV per cell

```
4
Lattice="3.405 0.000 0.000 0.000 3.405 0.000 0.000 0.000 10.001" Properties=species:S:1:pos:R:3 pbc="T T T"
Ba 0.000 0.000 0.000
Sc 0.000 0.000 5.000
Sc 1.703 1.703 2.953
Sc 1.703 1.703 7.047
```

---

Entry 19:
A PBEsol-optimized structure of YTeRh2. Source: Alexandria, functional SCAN.

Raw formation energy ... -15.89 kcal/mol of atoms
Energy above the most stable polymorph in this dataset ... 0.0000 eV/atom
Spin magnetization ... 0.0 μB/f.u.
Uncorrected energy ... -135.4 eV per cell

```
4
Lattice="4.369 0.000 0.000 0.000 4.369 0.000 0.000 0.000 3.781" Properties=species:S:1:pos:R:3 pbc="T T T"
Y 0.000 0.000 0.000
Te 2.185 2.185 0.000
Rh 0.000 2.185 1.890
Rh 2.185 0.000 1.890
```

---

Entry 20:
A PBEsol-optimized structure of CaRe2As. Source: Alexandria, functional SCAN.

Spin magnetization ... 0.0 μB/f.u.
DFT formation energy ... 0.65 eV/atom
Uncorrected energy ... -169.5 eV per cell

```
4
Lattice="3.071 0.000 0.000 0.000 3.071 0.000 0.000 0.000 7.491" Properties=species:S:1:pos:R:3 pbc="T T T"
Ca 0.000 0.000 0.000
Re 1.535 1.535 2.380
Re 1.535 1.535 5.111
As 0.000 0.000 3.746
```